No. 1
{
  "formula": "Tb3Tm2Mg7",
  "functional": "GGA-PBE",
  "state": "optimized geometry",
  "lattice_angstrom": [[2.5616, -12.8897, 0.0000], [2.5616, 12.8897, 0.0000], [0.0000, 0.0000, 5.1373]],
  "species": ["Tb", "Tb", "Tb", "Tm", "Tm", "Mg", "Mg", "Mg", "Mg", "Mg", "Mg", "Mg"],
  "frac_coords": [[0.0000, 0.0000, 0.0000], [0.1594, 0.8406, 0.0000], [0.8406, 0.1594, 0.0000], [0.3554, 0.6446, 0.5000], [0.6446, 0.3554, 0.5000], [0.0727, 0.9273, 0.5000], [0.2299, 0.7701, 0.5000], [0.4269, 0.5731, 0.0000], [0.5000, 0.5000, 0.5000], [0.5731, 0.4269, 0.0000], [0.7701, 0.2299, 0.5000], [0.9273, 0.0727, 0.5000]],
  "e_tot_ev_per_atom": -2.717,
  "space_group": "Cmmm (65)"
}

No. 2
{
  "formula": "TbTm2Mg",
  "functional": "GGA-PBE",
  "state": "optimized geometry",
  "lattice_angstrom": [[0.0000, 3.8592, 3.8592], [3.8592, 0.0000, 3.8592], [3.8592, 3.8592, 0.0000]],
  "species": ["Tb", "Tm", "Tm", "Mg"],
  "frac_coords": [[0.0000, 0.0000, 0.0000], [0.2500, 0.2500, 0.2500], [0.7500, 0.7500, 0.7500], [0.5000, 0.5000, 0.5000]],
  "e_tot_ev_per_atom": -3.711,
  "space_group": "Fm-3m (225)"
}

No. 3
{
  "formula": "TbTm2Mg",
  "functional": "GGA-PBE",
  "state": "optimized geometry",
  "lattice_angstrom": [[1.7449, 1.0074, 11.0675], [-1.7449, 1.0074, 11.0675], [0.0000, -2.0149, 11.0675]],
  "species": ["Tb", "Tm", "Tm", "Mg"],
  "frac_coords": [[0.0000, 0.0000, 0.0000], [0.2471, 0.2471, 0.2471], [0.7529, 0.7529, 0.7529], [0.5000, 0.5000, 0.5000]],
  "e_tot_ev_per_atom": -3.776,
  "space_group": "R-3m (166)"
}

No. 4
{
  "formula": "Tb2TmMg",
  "functional": "GGA-PBE",
  "state": "optimized geometry",
  "lattice_angstrom": [[3.5765, 0.0000, 0.0000], [0.0000, 3.5765, 0.0000], [0.0000, 0.0000, 9.2059]],
  "species": ["Tb", "Tb", "Tm", "Mg"],
  "frac_coords": [[0.0000, 0.0000, 0.2374], [0.0000, 0.0000, 0.7626], [0.5000, 0.5000, 0.5000], [0.5000, 0.5000, 0.0000]],
  "e_tot_ev_per_atom": -3.856,
  "space_group": "P4/mmm (123)"
}